DFT (PBE) results for a relaxed GdZrHg crystal.

The structure in extended XYZ format:
```
3
Lattice="5.050 0.000 0.000 -2.525 4.374 0.000 0.000 0.000 3.504" Properties=species:S:1:pos:R:3 pbc="T T T"
Gd 0.000 0.000 0.000
Zr 0.000 2.916 1.752
Hg 2.525 1.458 1.752
```

Results
Energy relative to the lowest polymorph listed for this composition ... 144 meV per atom
Symmetry ... No. 187
Total magnetic moment ... 2.404 μB/atom
Crystal system ... hexagonal
Volume ... 25.8 Å³/atom
VASP energy ... -7.679 eV per atom
Formation enthalpy at 0 K ... -0.036 eV per atom


DFT (PBE) results for a relaxed Ac3AsH crystal.

The structure in extended XYZ format:
```
5
Lattice="5.201 0.000 0.000 0.000 5.201 0.000 0.000 0.000 5.201" Properties=species:S:1:pos:R:3 pbc="T T T"
Ac 0.000 0.000 2.601
Ac 0.000 2.601 0.000
Ac 2.601 0.000 0.000
As 2.601 2.601 2.601
H 0.000 0.000 0.000
```

Results
Symmetry ... No. 221
Total magnetic moment ... 0.000 μB/atom
Crystal system ... cubic
Volume ... 28.1 Å³/atom
VASP energy ... -4.417 eV per atom


DFT (PBE) results for a relaxed TbWS2 crystal.

The structure in extended XYZ format:
```
4
Lattice="1.654 0.955 8.665 -1.654 0.955 8.665 0.000 -1.910 8.665" Properties=species:S:1:pos:R:3 pbc="T T T"
Tb 0.000 0.000 0.000
W 0.000 0.000 12.998
S 0.000 0.000 2.770
S 0.000 0.000 23.226
```

Results
Symmetry ... No. 166
Total magnetic moment ... 0.122 μB/atom
Crystal system ... trigonal
Raw formation energy ... -402 meV/atom
Volume ... 20.5 Å³/atom
VASP energy ... -6.861 eV per atom


DFT (PBE) results for a relaxed RhPb2Cl2 crystal.

The structure in extended XYZ format:
```
10
Lattice="7.583 0.000 0.000 0.000 7.583 0.000 0.000 0.000 4.928" Properties=species:S:1:pos:R:3 pbc="T T T"
Rh 0.000 0.000 0.000
Rh 3.791 3.791 0.000
Pb 1.613 2.178 0.000
Pb 2.178 5.970 0.000
Pb 5.404 1.613 0.000
Pb 5.970 5.404 0.000
Cl 1.178 4.970 2.464
Cl 2.613 1.178 2.464
Cl 4.970 6.405 2.464
Cl 6.405 2.613 2.464
```

Results
Energy relative to the lowest polymorph listed for this composition ... 0 meV per atom
Symmetry ... No. 127
Total magnetic moment ... 0.178 μB/atom
Crystal system ... tetragonal
Raw formation energy ... -239 meV/atom
Volume ... 28.3 Å³/atom
VASP energy ... -3.931 eV per atom